# DyW, optimized geometry, DFT GGA-PBE
data_DyW
_chemical_formula_sum 'Dy4 W4'
_cell_length_a 6.500
_cell_length_b 6.500
_cell_length_c 6.500
_cell_angle_alpha 90.00
_cell_angle_beta 90.00
_cell_angle_gamma 90.00
_space_group_name_H-M_alt 'F -4 3 m'
_space_group_IT_number 216
_space_group_name_Hall 'F -4 2 3'
loop_
_atom_site_label
_atom_site_fract_x
_atom_site_fract_y
_atom_site_fract_z
Dy1 0.000 0.000 0.000
W1 0.250 0.250 0.750
# - E_form (eV per formula unit) = 5.83
# - size of the total moment (μB per atom) = 1.5306
# - E above lowest polymorph (eV/f.u.) = 4.17
# - raw total energy (eV/atom) = -5.86

# ErFeTc, optimized geometry, DFT GGA-PBE
data_ErFeTc
_chemical_formula_sum 'Er4 Fe4 Tc4'
_cell_length_a 6.035
_cell_length_b 6.035
_cell_length_c 6.035
_cell_angle_alpha 90.00
_cell_angle_beta 90.00
_cell_angle_gamma 90.00
_space_group_name_H-M_alt 'F -4 3 m'
_space_group_IT_number 216
_space_group_name_Hall 'F -4 2 3'
loop_
_atom_site_label
_atom_site_fract_x
_atom_site_fract_y
_atom_site_fract_z
Er1 0.000 0.000 0.000
Fe1 0.250 0.250 0.250
Tc1 0.000 0.000 0.500
# - E_form (eV per formula unit) = 1.28
# - size of the total moment (μB per atom) = 0.2252
# - E above lowest polymorph (eV/f.u.) = 0.00
# - raw total energy (eV/atom) = -7.32